Record 1
DFT (PBE) results for a relaxed structure of Zr3Mn2Fe7.

Cell: 4.9232 4.9232 8.4152 Å, 72.99 72.99 60.00°
Site moments in Bohr magnetons follow the coordinates.
Element x y z (fractional)
Zr (0.0000, 0.0000, 0.0000)  -0.23
Zr (0.8592, 0.8592, 0.4225)  -0.41
Zr (0.1408, 0.1408, 0.5775)  -0.41
Mn (0.6670, 0.6670, 0.9990)  1.87
Mn (0.3330, 0.3330, 0.0010)  1.87
Fe (0.5000, 0.5000, 0.5000)  1.95
Fe (0.9194, 0.4159, 0.2487)  1.66
Fe (0.4159, 0.9194, 0.2487)  1.66
Fe (0.4159, 0.4159, 0.2487)  1.66
Fe (0.0806, 0.5841, 0.7513)  1.66
Fe (0.5841, 0.5841, 0.7513)  1.66
Fe (0.5841, 0.0806, 0.7513)  1.66

space group: R-3m, No. 166
DFT formation energy: -2.03 eV/f.u.
uncorrected energy: -8.771 eV per atom

***

Record 2
DFT (PBE) results for a relaxed structure of Th5In3Hg3.

Cell: 3.3735 10.5746 10.5746 Å, 120.00 90.00 90.00°
Element x y z (fractional)
Th (0.5000, 0.6667, 0.3333)
Th (0.5000, 0.3333, 0.6667)
Th (0.5000, 0.3488, 0.0000)
Th (0.5000, 0.6512, 0.6512)
Th (0.5000, 0.0000, 0.3488)
In (0.0000, 0.6117, 0.0000)
In (0.0000, 0.0000, 0.6117)
In (0.0000, 0.3883, 0.3883)
Hg (0.5000, 0.8401, 0.0000)
Hg (0.5000, 0.1599, 0.1599)
Hg (0.5000, 0.0000, 0.8401)

space group: P-62m, No. 189
DFT formation energy: 2.08 eV/f.u.
uncorrected energy: -4.013 eV per atom

***

Record 3
DFT (PBE) results for a relaxed structure of Nd2Dy8Mg.

Cell: 6.6930 9.9917 9.9917 Å, 38.77 59.77 59.77°
Element x y z (fractional)
Nd (0.5788, 0.8142, 0.8142)
Nd (0.4212, 0.1858, 0.1858)
Dy (0.2247, 0.3417, 0.8202)
Dy (0.7753, 0.1798, 0.6583)
Dy (0.1784, 0.7545, 0.7545)
Dy (0.8216, 0.2455, 0.2455)
Dy (0.2247, 0.8202, 0.3417)
Dy (0.7753, 0.6583, 0.1798)
Dy (0.7291, 0.5938, 0.5938)
Dy (0.2709, 0.4062, 0.4062)
Mg (0.0000, 0.0000, 0.0000)

space group: C2/m, No. 12
DFT formation energy: 1.51 eV/f.u.
E above lowest polymorph: 27.8 meV/atom
uncorrected energy: -4.222 eV per atom

***

Record 4
DFT (PBE) results for a relaxed structure of FeTc2Os.

Cell: 4.6733 4.6733 2.7011 Å, 90.00 90.00 110.26°
Site moments in Bohr magnetons follow the coordinates.
Element x y z (fractional)
Fe (0.5000, 0.0000, 0.5000)  1.95
Os (0.0000, 0.5000, 0.5000)  -0.04
Tc (0.0000, 0.0000, 0.0000)  -0.21
Tc (0.5000, 0.5000, 0.0000)  -0.21

space group: Cmmm, No. 65
DFT formation energy: 0.38 eV/f.u.
E above lowest polymorph: 16.8 meV/atom
uncorrected energy: -10.012 eV per atom

***

Record 5
DFT (PBE) results for a relaxed structure of Mg2WI.

Cell: 5.0289 5.0289 5.0289 Å, 60.00 60.00 60.00°
Site moments in Bohr magnetons follow the coordinates.
Element x y z (fractional)
I (0.0000, 0.0000, 0.0000)  0.01
Mg (0.2500, 0.2500, 0.2500)  -0.01
Mg (0.7500, 0.7500, 0.7500)  -0.01
W (0.5000, 0.5000, 0.5000)  1.89

space group: Fm-3m, No. 225
E above lowest polymorph: 79.3 meV/atom
energy relative to the elements, uncorrected: 1.153 eV per atom
uncorrected energy: -3.271 eV per atom

***

Record 6
DFT (PBE) results for a relaxed structure of La2PrAlO.

Cell: 5.0251 5.0140 5.0140 Å, 90.00 90.00 90.00°
Element x y z (fractional)
La (0.0000, 0.0000, 0.5000)
La (0.0000, 0.5000, 0.0000)
Pr (0.5000, 0.0000, 0.0000)
Al (0.5000, 0.5000, 0.5000)
O (0.0000, 0.0000, 0.0000)

space group: P4/mmm, No. 123
energy relative to the elements, uncorrected: -1.325 eV per atom
uncorrected energy: -5.992 eV per atom

***

| no. | DOS(E_F) (states/eV/f.u.) |
| --- | --- |
| 1 | 11.08 |
| 2 | 12.33 |
| 3 | 15.49 |
| 4 | 4.14 |
| 5 | 3.62 |
| 6 | 2.12 |